[1]
# KTmAuSe2 (PBE-GGA, relaxed)
data_KTmAuSe2
_cell_length_a 7.647
_cell_length_b 4.913
_cell_length_c 7.830
_cell_angle_alpha 90.00
_cell_angle_beta 97.62
_cell_angle_gamma 90.00
_symmetry_space_group_name_H-M 'P 1 2/c 1'
_symmetry_Int_Tables_number 13
_symmetry_space_group_name_Hall '-P 2yc'
loop_
_atom_site_label
_atom_site_type_symbol
_atom_site_fract_x
_atom_site_fract_y
_atom_site_fract_z
K1 K 0.000 0.114 0.250
Tm1 Tm 0.500 0.494 0.750
Au1 Au 0.500 0.000 0.000
Se1 Se 0.249 0.372 0.969
# Uncorrected formation energy, meV/atom: -1086

---

[2]
# LiDyAlPt (PBE-GGA, relaxed)
data_LiDyAlPt
_cell_length_a 6.597
_cell_length_b 6.597
_cell_length_c 6.597
_cell_angle_alpha 90.00
_cell_angle_beta 90.00
_cell_angle_gamma 90.00
_symmetry_space_group_name_H-M 'F -4 3 m'
_symmetry_Int_Tables_number 216
_symmetry_space_group_name_Hall 'F -4 2 3'
loop_
_atom_site_label
_atom_site_type_symbol
_atom_site_fract_x
_atom_site_fract_y
_atom_site_fract_z
Li1 Li 0.000 0.000 0.000
Dy1 Dy 0.250 0.250 0.750
Al1 Al 0.250 0.250 0.250
Pt1 Pt 0.000 0.000 0.500
# ΔE_f, eV per atom: -0.7856

---

Number 1: DOS at the Fermi energy 2.4 states/eV/f.u.. Number 2: DOS at the Fermi energy 4.7 states/eV/f.u..